# 1
# La2IrW PBEsol optimized geometry
# ρ ... 12140 kg/m3
# Polymorph energy (0 for the lowest one) ... 309 meV per atom
# Formation energy ... 363 meV/atom
data_La2IrW
_symmetry_space_group_name_H-M 'P m m m'
_symmetry_Int_Tables_number 47
_cell_length_a 3.175
_cell_length_b 3.905
_cell_length_c 7.214
_cell_angle_alpha 90.00
_cell_angle_beta 90.00
_cell_angle_gamma 90.00
loop_
_symmetry_equiv_pos_as_xyz
'x,y,z'
'-x,-y,-z'
'-x,-y,z'
'x,y,-z'
'x,-y,-z'
'-x,y,z'
'-x,y,-z'
'x,-y,z'
loop_
_atom_site_label
_atom_site_type_symbol
_atom_site_fract_x
_atom_site_fract_y
_atom_site_fract_z
La1 La 0.000 0.000 0.236
Ir1 Ir 0.500 0.500 0.000
W1 W 0.500 0.500 0.500

***

# 2
# La2IrW PBEsol optimized geometry
# ρ ... 13295 kg/m3
# Polymorph energy (0 for the lowest one) ... 490 meV per atom
# Formation energy ... 545 meV/atom
data_La2IrW
_symmetry_space_group_name_H-M 'C 1 2/m 1'
_symmetry_Int_Tables_number 12
_cell_length_a 10.149
_cell_length_b 2.986
_cell_length_c 5.409
_cell_angle_alpha 90.00
_cell_angle_beta 94.84
_cell_angle_gamma 90.00
loop_
_symmetry_equiv_pos_as_xyz
'x,y,z'
'-x,-y,-z'
'-x,y,-z'
'x,-y,z'
'x+1/2,y+1/2,z'
'-x+1/2,-y+1/2,-z'
'-x+1/2,y+1/2,-z'
'x+1/2,-y+1/2,z'
loop_
_atom_site_label
_atom_site_type_symbol
_atom_site_fract_x
_atom_site_fract_y
_atom_site_fract_z
La1 La 0.249 0.000 0.240
Ir1 Ir 0.000 0.000 0.000
W1 W 0.000 0.500 0.500

***

# 3
# LaIr2W PBEsol optimized geometry
# ρ ... 16516 kg/m3
# Polymorph energy (0 for the lowest one) ... 0 meV per atom
# Formation energy ... 96 meV/atom
data_LaIr2W
_symmetry_space_group_name_H-M 'P 4/m m m'
_symmetry_Int_Tables_number 123
_symmetry_space_group_name_Hall '-P 4 2'
_cell_length_a 4.958
_cell_length_b 4.958
_cell_length_c 2.893
_cell_angle_alpha 90.00
_cell_angle_beta 90.00
_cell_angle_gamma 90.00
loop_
_atom_site_label
_atom_site_type_symbol
_atom_site_fract_x
_atom_site_fract_y
_atom_site_fract_z
La1 La 0.000 0.000 0.000
Ir1 Ir 0.000 0.500 0.500
W1 W 0.500 0.500 0.000

***

# 4
# LaYIr4 PBEsol optimized geometry
# ρ ... 15268 kg/m3
# Formation energy ... -723 meV/atom
data_LaYIr4
_symmetry_space_group_name_H-M 'F -4 3 m'
_symmetry_Int_Tables_number 216
_symmetry_space_group_name_Hall 'F -4 2 3'
_cell_length_a 7.569
_cell_length_b 7.569
_cell_length_c 7.569
_cell_angle_alpha 90.00
_cell_angle_beta 90.00
_cell_angle_gamma 90.00
loop_
_atom_site_label
_atom_site_type_symbol
_atom_site_fract_x
_atom_site_fract_y
_atom_site_fract_z
La1 La 0.000 0.000 0.000
Y1 Y 0.250 0.250 0.250
Ir1 Ir 0.125 0.125 0.625

***

# 5
# La4YIr PBEsol optimized geometry
# ρ ... 8278 kg/m3
# Formation energy ... 556 meV/atom
data_La4YIr
_symmetry_space_group_name_H-M 'F -4 3 m'
_symmetry_Int_Tables_number 216
_symmetry_space_group_name_Hall 'F -4 2 3'
_cell_length_a 8.756
_cell_length_b 8.756
_cell_length_c 8.756
_cell_angle_alpha 90.00
_cell_angle_beta 90.00
_cell_angle_gamma 90.00
loop_
_atom_site_label
_atom_site_type_symbol
_atom_site_fract_x
_atom_site_fract_y
_atom_site_fract_z
La1 La 0.122 0.122 0.378
Y1 Y 0.000 0.000 0.000
Ir1 Ir 0.250 0.250 0.750

***

# 6
# LaY2Ir PBEsol optimized geometry
# ρ ... 8813 kg/m3
# Polymorph energy (0 for the lowest one) ... 303 meV per atom
# Formation energy ... -91 meV/atom
data_LaY2Ir
_symmetry_space_group_name_H-M 'I 4/m m m'
_symmetry_Int_Tables_number 139
_symmetry_space_group_name_Hall '-I 4 2'
_cell_length_a 4.276
_cell_length_b 4.276
_cell_length_c 10.487
_cell_angle_alpha 90.00
_cell_angle_beta 90.00
_cell_angle_gamma 90.00
loop_
_atom_site_label
_atom_site_type_symbol
_atom_site_fract_x
_atom_site_fract_y
_atom_site_fract_z
La1 La 0.000 0.000 0.000
Y1 Y 0.000 0.500 0.250
Ir1 Ir 0.000 0.000 0.500

***

# 7
# LaY2Ir PBEsol optimized geometry
# ρ ... 8165 kg/m3
# Polymorph energy (0 for the lowest one) ... 0 meV per atom
# Formation energy ... -394 meV/atom
data_LaY2Ir
_symmetry_space_group_name_H-M 'C 1 m 1'
_symmetry_Int_Tables_number 8
_cell_length_a 11.942
_cell_length_b 3.666
_cell_length_c 5.267
_cell_angle_alpha 90.00
_cell_angle_beta 116.15
_cell_angle_gamma 90.00
loop_
_symmetry_equiv_pos_as_xyz
'x,y,z'
'x,-y,z'
'x+1/2,y+1/2,z'
'x+1/2,-y+1/2,z'
loop_
_atom_site_label
_atom_site_type_symbol
_atom_site_fract_x
_atom_site_fract_y
_atom_site_fract_z
La1 La 0.000 0.000 0.000
Y1 Y 0.201 0.000 0.701
Y2 Y 0.397 0.000 0.397
Ir1 Ir 0.203 0.500 0.205

***

# 8
# LaZn2Ir PBEsol optimized geometry
# ρ ... 9522 kg/m3
# Formation energy ... -401 meV/atom
data_LaZn2Ir
_symmetry_space_group_name_H-M 'R 3 m'
_symmetry_Int_Tables_number 160
_symmetry_space_group_name_Hall 'R 3 -2"'
_cell_length_a 4.3399
_cell_length_b 4.3399
_cell_length_c 14.8142
_cell_angle_alpha 90.00
_cell_angle_beta 90.00
_cell_angle_gamma 120.00
loop_
_atom_site_label
_atom_site_type_symbol
_atom_site_fract_x
_atom_site_fract_y
_atom_site_fract_z
La1 La 0.0000 0.0000 0.0000
Zn1 Zn 0.0000 0.0000 0.5229
Zn2 Zn 0.0000 0.0000 0.8000
Ir1 Ir 0.0000 0.0000 0.2015

***

# 9
# La2ZnIr PBEsol optimized geometry
# ρ ... 9073 kg/m3
# Formation energy ... -473 meV/atom
data_La2ZnIr
_symmetry_space_group_name_H-M 'A m m 2'
_symmetry_Int_Tables_number 38
_cell_length_a 4.409
_cell_length_b 4.073
_cell_length_c 10.913
_cell_angle_alpha 90.00
_cell_angle_beta 90.00
_cell_angle_gamma 90.00
loop_
_symmetry_equiv_pos_as_xyz
'x,y,z'
'-x,-y,z'
'-x,y,z'
'x,-y,z'
'x,y+1/2,z+1/2'
'-x,-y+1/2,z+1/2'
'-x,y+1/2,z+1/2'
'x,-y+1/2,z+1/2'
loop_
_atom_site_label
_atom_site_type_symbol
_atom_site_fract_x
_atom_site_fract_y
_atom_site_fract_z
La1 La 0.000 0.000 0.000
La2 La 0.500 0.000 0.276
Zn1 Zn 0.000 0.000 0.705
Ir1 Ir 0.500 0.000 0.569

***

# 10
# LaZn2Ir2 PBEsol optimized geometry
# ρ ... 11717 kg/m3
# Formation energy ... -412 meV/atom
data_LaZn2Ir2
_symmetry_space_group_name_H-M 'I 4/m m m'
_symmetry_Int_Tables_number 139
_symmetry_space_group_name_Hall '-I 4 2'
_cell_length_a 4.133
_cell_length_b 4.133
_cell_length_c 10.854
_cell_angle_alpha 90.00
_cell_angle_beta 90.00
_cell_angle_gamma 90.00
loop_
_atom_site_label
_atom_site_type_symbol
_atom_site_fract_x
_atom_site_fract_y
_atom_site_fract_z
La1 La 0.000 0.000 0.000
Zn1 Zn 0.000 0.500 0.250
Ir1 Ir 0.000 0.000 0.387

***

# 11
# La2ZnIr PBEsol optimized geometry
# ρ ... 10772 kg/m3
# Formation energy ... -350 meV/atom
data_La2ZnIr
_symmetry_space_group_name_H-M 'R 3 m'
_symmetry_Int_Tables_number 160
_symmetry_space_group_name_Hall 'R 3 -2"'
_cell_length_a 4.9035
_cell_length_b 4.9035
_cell_length_c 11.8913
_cell_angle_alpha 90.00
_cell_angle_beta 90.00
_cell_angle_gamma 120.00
loop_
_atom_site_label
_atom_site_type_symbol
_atom_site_fract_x
_atom_site_fract_y
_atom_site_fract_z
La1 La 0.0000 0.0000 0.0000
La2 La 0.0000 0.0000 0.2523
Zn1 Zn 0.0000 0.0000 0.5032
Ir1 Ir 0.0000 0.0000 0.7478

***

# 12
# LaZn2Ir PBEsol optimized geometry
# ρ ... 10348 kg/m3
# Formation energy ... -211 meV/atom
data_LaZn2Ir
_symmetry_space_group_name_H-M 'P 4 m m'
_symmetry_Int_Tables_number 99
_cell_length_a 3.249
_cell_length_b 3.249
_cell_length_c 7.023
_cell_angle_alpha 90.00
_cell_angle_beta 90.00
_cell_angle_gamma 90.00
loop_
_symmetry_equiv_pos_as_xyz
'x,y,z'
'-y,x,z'
'-x,-y,z'
'y,-x,z'
'-x,y,z'
'y,x,z'
'x,-y,z'
'-y,-x,z'
loop_
_atom_site_label
_atom_site_type_symbol
_atom_site_fract_x
_atom_site_fract_y
_atom_site_fract_z
La1 La 0.000 0.000 0.000
Zn1 Zn 0.000 0.000 0.543
Zn2 Zn 0.500 0.500 0.341
Ir1 Ir 0.500 0.500 0.721

***

# 13
# LaZn4Ir PBEsol optimized geometry
# ρ ... 10114 kg/m3
# Formation energy ... -301 meV/atom
data_LaZn4Ir
_symmetry_space_group_name_H-M 'F -4 3 m'
_symmetry_Int_Tables_number 216
_symmetry_space_group_name_Hall 'F -4 2 3'
_cell_length_a 7.302
_cell_length_b 7.302
_cell_length_c 7.302
_cell_angle_alpha 90.00
_cell_angle_beta 90.00
_cell_angle_gamma 90.00
loop_
_atom_site_label
_atom_site_type_symbol
_atom_site_fract_x
_atom_site_fract_y
_atom_site_fract_z
La1 La 0.000 0.000 0.000
Zn1 Zn 0.123 0.123 0.377
Ir1 Ir 0.250 0.250 0.750

***

# 14
# LaZn2Ir PBEsol optimized geometry
# ρ ... 10731 kg/m3
# Formation energy ... -204 meV/atom
data_LaZn2Ir
_symmetry_space_group_name_H-M 'P 4/m m m'
_symmetry_Int_Tables_number 123
_symmetry_space_group_name_Hall '-P 4 2'
_cell_length_a 3.149
_cell_length_b 3.149
_cell_length_c 7.211
_cell_angle_alpha 90.00
_cell_angle_beta 90.00
_cell_angle_gamma 90.00
loop_
_atom_site_label
_atom_site_type_symbol
_atom_site_fract_x
_atom_site_fract_y
_atom_site_fract_z
La1 La 0.000 0.000 0.000
Zn1 Zn 0.500 0.500 0.313
Ir1 Ir 0.000 0.000 0.500

***

# 15
# La2ZnIr PBEsol optimized geometry
# ρ ... 8024 kg/m3
# Formation energy ... -377 meV/atom
data_La2ZnIr
_symmetry_space_group_name_H-M 'R -3 m'
_symmetry_Int_Tables_number 166
_symmetry_space_group_name_Hall '-R 3 2"'
_cell_length_a 4.1176
_cell_length_b 4.1176
_cell_length_c 22.6404
_cell_angle_alpha 90.00
_cell_angle_beta 90.00
_cell_angle_gamma 120.00
loop_
_atom_site_label
_atom_site_type_symbol
_atom_site_fract_x
_atom_site_fract_y
_atom_site_fract_z
La1 La 0.0000 0.0000 0.2362
Zn1 Zn 0.0000 0.0000 0.0000
Ir1 Ir 0.0000 0.0000 0.5000

***

# 16
# La2ZnIr PBEsol optimized geometry
# ρ ... 9363 kg/m3
# Formation energy ... -421 meV/atom
data_La2ZnIr
_symmetry_space_group_name_H-M 'P 4/m m m'
_symmetry_Int_Tables_number 123
_symmetry_space_group_name_Hall '-P 4 2'
_cell_length_a 3.629
_cell_length_b 3.629
_cell_length_c 7.212
_cell_angle_alpha 90.00
_cell_angle_beta 90.00
_cell_angle_gamma 90.00
loop_
_atom_site_label
_atom_site_type_symbol
_atom_site_fract_x
_atom_site_fract_y
_atom_site_fract_z
La1 La 0.000 0.000 0.231
Zn1 Zn 0.500 0.500 0.500
Ir1 Ir 0.500 0.500 0.000

***

# 17
# LaZn2Ir PBEsol optimized geometry
# ρ ... 10419 kg/m3
# Formation energy ... 84 meV/atom
data_LaZn2Ir
_symmetry_space_group_name_H-M 'C 1 2/m 1'
_symmetry_Int_Tables_number 12
_cell_length_a 5.364
_cell_length_b 9.468
_cell_length_c 2.995
_cell_angle_alpha 90.00
_cell_angle_beta 104.51
_cell_angle_gamma 90.00
loop_
_symmetry_equiv_pos_as_xyz
'x,y,z'
'-x,-y,-z'
'-x,y,-z'
'x,-y,z'
'x+1/2,y+1/2,z'
'-x+1/2,-y+1/2,-z'
'-x+1/2,y+1/2,-z'
'x+1/2,-y+1/2,z'
loop_
_atom_site_label
_atom_site_type_symbol
_atom_site_fract_x
_atom_site_fract_y
_atom_site_fract_z
La1 La 0.000 0.000 0.000
Zn1 Zn 0.250 0.250 0.500
Ir1 Ir 0.000 0.500 0.000

***

# 18
# La3ZrIr PBEsol optimized geometry
# ρ ... 7722 kg/m3
# Polymorph energy (0 for the lowest one) ... 845 meV per atom
# Formation energy ... 988 meV/atom
data_La3ZrIr
_symmetry_space_group_name_H-M 'P m -3 m'
_symmetry_Int_Tables_number 221
_symmetry_space_group_name_Hall '-P 4 2 3'
_cell_length_a 5.320
_cell_length_b 5.320
_cell_length_c 5.320
_cell_angle_alpha 90.00
_cell_angle_beta 90.00
_cell_angle_gamma 90.00
loop_
_atom_site_label
_atom_site_type_symbol
_atom_site_fract_x
_atom_site_fract_y
_atom_site_fract_z
La1 La 0.000 0.000 0.500
Zr1 Zr 0.000 0.000 0.000
Ir1 Ir 0.500 0.500 0.500

***

# 19
# LaZr2Ir2 PBEsol optimized geometry
# ρ ... 10574 kg/m3
# Formation energy ... -733 meV/atom
data_LaZr2Ir2
_symmetry_space_group_name_H-M 'I 4/m m m'
_symmetry_Int_Tables_number 139
_symmetry_space_group_name_Hall '-I 4 2'
_cell_length_a 4.521
_cell_length_b 4.521
_cell_length_c 10.846
_cell_angle_alpha 90.00
_cell_angle_beta 90.00
_cell_angle_gamma 90.00
loop_
_atom_site_label
_atom_site_type_symbol
_atom_site_fract_x
_atom_site_fract_y
_atom_site_fract_z
La1 La 0.000 0.000 0.000
Zr1 Zr 0.000 0.500 0.250
Ir1 Ir 0.000 0.000 0.380

***

# 20
# LaZr2Ir PBEsol optimized geometry
# ρ ... 9382 kg/m3
# Formation energy ... -265 meV/atom
data_LaZr2Ir
_symmetry_space_group_name_H-M 'I m m m'
_symmetry_Int_Tables_number 71
_symmetry_space_group_name_Hall '-I 2 2'
_cell_length_a 3.283
_cell_length_b 5.209
_cell_length_c 10.631
_cell_angle_alpha 90.00
_cell_angle_beta 90.00
_cell_angle_gamma 90.00
loop_
_atom_site_label
_atom_site_type_symbol
_atom_site_fract_x
_atom_site_fract_y
_atom_site_fract_z
La1 La 0.000 0.000 0.000
Zr1 Zr 0.000 0.500 0.208
Ir1 Ir 0.000 0.000 0.500